Here is a relaxed structure of CoSnSO from OQMD via LeMat-Bulk. Energies are from PBE with a Hubbard U.

Output
**Relative energy among the computed polymorphs**: 22.5 kJ per mole of atoms
**Symmetry**: Pbca (61)

Structure (POSCAR):
```
CoSnSO
1.0
6.814 0.000 0.000
0.000 6.879 0.000
0.000 0.000 10.847
Co Sn S O
8 8 8 8
Direct
0.002 0.247 0.028 Co
0.002 0.253 0.528 Co
0.498 0.747 0.028 Co
0.498 0.753 0.528 Co
0.502 0.247 0.472 Co
0.502 0.253 0.972 Co
0.998 0.747 0.472 Co
0.998 0.753 0.972 Co
0.221 0.533 0.249 Sn
0.221 0.967 0.749 Sn
0.279 0.033 0.249 Sn
0.279 0.467 0.749 Sn
0.721 0.533 0.251 Sn
0.721 0.967 0.751 Sn
0.779 0.033 0.251 Sn
0.779 0.467 0.751 Sn
0.246 0.503 0.998 S
0.246 0.997 0.498 S
0.254 0.003 0.998 S
0.254 0.497 0.498 S
0.746 0.503 0.502 S
0.746 0.997 0.002 S
0.754 0.003 0.502 S
0.754 0.497 0.002 S
0.019 0.234 0.233 O
0.019 0.266 0.733 O
0.481 0.734 0.233 O
0.481 0.766 0.733 O
0.519 0.234 0.267 O
0.519 0.266 0.767 O
0.981 0.734 0.267 O
0.981 0.766 0.767 O
```